Compound: MgRhW2F
Source: Alexandria
Functional: PBE with a Hubbard U
Structure: optimized geometry

The structure in POSCAR format:
```
MgRhW2F
1.0
5.233 0.000 0.000
0.000 5.233 0.000
0.000 0.000 4.096
Mg Rh W F
1 1 2 1
direct
0.000 0.000 0.000
0.500 0.500 0.500
0.000 0.500 0.500
0.500 0.000 0.500
0.500 0.500 0.000
```

Results
Space-group type   P4/mmm (123)
Total magnetic moment   7.19 μB per formula unit
E_tot   -20.8 eV for the cell shown